Entry 1:
Material: PaTcP
Method: DFT, PBE-GGA
State: relaxed

relative energy among the computed polymorphs	142	meV/atom
energy relative to the elements	-0.76	eV per atom

The structure in CIF format:
```
data_PaTcP
_symmetry_space_group_name_H-M 'P 4/n m m'
_symmetry_Int_Tables_number 129
_cell_length_a 4.104
_cell_length_b 4.104
_cell_length_c 6.513
_cell_angle_alpha 90.00
_cell_angle_beta 90.00
_cell_angle_gamma 90.00
loop_
_symmetry_equiv_pos_as_xyz
'x,y,z'
'-x,-y,-z'
'-y+1/2,x,z'
'y+1/2,-x,-z'
'-x+1/2,-y+1/2,z'
'x+1/2,y+1/2,-z'
'y,-x+1/2,z'
'-y,x+1/2,-z'
'x+1/2,-y,-z'
'-x+1/2,y,z'
'-y,-x,-z'
'y,x,z'
'-x,y+1/2,-z'
'x,-y+1/2,z'
'y+1/2,x+1/2,-z'
'-y+1/2,-x+1/2,z'
loop_
_atom_site_label
_atom_site_type_symbol
_atom_site_fract_x
_atom_site_fract_y
_atom_site_fract_z
Pa1 Pa 0.250 0.250 0.177
Tc1 Tc 0.250 0.750 0.500
P1 P 0.250 0.250 0.721
```

Entry 2:
Material: NaMnPt
Method: DFT, PBE-GGA
State: relaxed

relative energy among the computed polymorphs	124	meV/atom
energy relative to the elements	0.04	eV per atom

The structure in CIF format:
```
data_NaMnPt
_symmetry_space_group_name_H-M 'P -1'
_symmetry_Int_Tables_number 2
_cell_length_a 2.799
_cell_length_b 2.916
_cell_length_c 12.492
_cell_angle_alpha 89.92
_cell_angle_beta 88.68
_cell_angle_gamma 90.00
loop_
_symmetry_equiv_pos_as_xyz
'x,y,z'
'-x,-y,-z'
loop_
_atom_site_label
_atom_site_type_symbol
_atom_site_fract_x
_atom_site_fract_y
_atom_site_fract_z
Na1 Na 0.228 0.252 0.134
Mn1 Mn 0.168 0.250 0.449
Pt1 Pt 0.284 0.249 0.687
```

Entry 3:
Material: La3PbO
Method: DFT, PBE-GGA
State: relaxed

formation energy from raw total energies	-1.366	eV per atom

The structure in CIF format:
```
data_La3PbO
_symmetry_space_group_name_H-M 'C 1 2/m 1'
_symmetry_Int_Tables_number 12
_cell_length_a 6.964
_cell_length_b 11.754
_cell_length_c 6.980
_cell_angle_alpha 90.00
_cell_angle_beta 90.75
_cell_angle_gamma 90.00
loop_
_symmetry_equiv_pos_as_xyz
'x,y,z'
'-x,-y,-z'
'-x,y,-z'
'x,-y,z'
'x+1/2,y+1/2,z'
'-x+1/2,-y+1/2,-z'
'-x+1/2,y+1/2,-z'
'x+1/2,-y+1/2,z'
loop_
_atom_site_label
_atom_site_type_symbol
_atom_site_fract_x
_atom_site_fract_y
_atom_site_fract_z
La1 La 0.000 0.000 0.000
La2 La 0.000 0.500 0.500
La3 La 0.249 0.247 0.743
Pb1 Pb 0.000 0.000 0.500
Pb2 Pb 0.000 0.500 0.000
O1 O 0.000 0.300 0.500
```

Entry 4:
Material: La2CoGeH
Method: DFT, PBE-GGA
State: relaxed

The structure in CIF format:
```
data_La2CoGeH
_symmetry_space_group_name_H-M 'P 4/m m m'
_symmetry_Int_Tables_number 123
_symmetry_space_group_name_Hall '-P 4 2'
_cell_length_a 5.189
_cell_length_b 5.189
_cell_length_c 3.686
_cell_angle_alpha 90.00
_cell_angle_beta 90.00
_cell_angle_gamma 90.00
loop_
_atom_site_label
_atom_site_type_symbol
_atom_site_fract_x
_atom_site_fract_y
_atom_site_fract_z
La1 La 0.000 0.500 0.000
Co1 Co 0.000 0.000 0.500
Ge1 Ge 0.500 0.500 0.500
H1 H 0.000 0.000 0.000
```

Entry 5:
Material: BaNa3Pd8
Method: DFT, PBE-GGA
State: relaxed

energy relative to the elements	-0.27	eV per atom

The structure in CIF format:
```
data_BaNa3Pd8
_symmetry_space_group_name_H-M 'R 3 m'
_symmetry_Int_Tables_number 160
_symmetry_space_group_name_Hall 'R 3 -2"'
_cell_length_a 5.4849
_cell_length_b 5.4849
_cell_length_c 26.9859
_cell_angle_alpha 90.00
_cell_angle_beta 90.00
_cell_angle_gamma 120.00
loop_
_atom_site_label
_atom_site_type_symbol
_atom_site_fract_x
_atom_site_fract_y
_atom_site_fract_z
Ba1 Ba 0.0000 0.0000 0.0000
Na1 Na 0.0000 0.0000 0.3834
Na2 Na 0.0000 0.0000 0.5017
Na3 Na 0.0000 0.0000 0.8709
Pd1 Pd 0.0000 0.0000 0.1877
Pd2 Pd 0.0000 0.0000 0.6884
Pd3 Pd 0.0018 0.5009 0.4398
Pd4 Pd 0.1671 0.3343 0.2689
```

Entry 6:
Material: Rb2TlCdAs2
Method: DFT, PBE-GGA
State: relaxed

energy relative to the elements	-0.32	eV per atom

The structure in CIF format:
```
data_Rb2TlCdAs2
_symmetry_space_group_name_H-M 'I b a m'
_symmetry_Int_Tables_number 72
_symmetry_space_group_name_Hall '-I 2 2c'
_cell_length_a 7.027
_cell_length_b 16.149
_cell_length_c 6.976
_cell_angle_alpha 90.00
_cell_angle_beta 90.00
_cell_angle_gamma 90.00
loop_
_atom_site_label
_atom_site_type_symbol
_atom_site_fract_x
_atom_site_fract_y
_atom_site_fract_z
Rb1 Rb 0.245 0.172 0.000
Tl1 Tl 0.000 0.000 0.250
Cd1 Cd 0.000 0.500 0.250
As1 As 0.227 0.402 0.000
```

no.,final energy (eV/atom),N(E_F) (states/eV per atom)
1,-9.182,1.42
2,-5.468,0.67
3,-6.056,0.97
4,-5.358,0.59
5,-4.225,0.84
6,-2.735,0.19